1.
Material: CaAcPmPb
Method: DFT, PBE
State: relaxed

- N(E_F): 26.471 states/eV per cell
- Magnetization: 0.2581 μB per atom
- Uncorrected energy: -3.687 eV/atom

CIF file:
```
data_CaAcPmPb
_space_group_name_H-M_alt 'F -4 3 m'
_space_group_IT_number 216
_space_group_name_Hall 'F -4 2 3'
_cell_length_a 8.1765
_cell_length_b 8.1765
_cell_length_c 8.1765
_cell_angle_alpha 90.00
_cell_angle_beta 90.00
_cell_angle_gamma 90.00
loop_
_atom_site_label
_atom_site_type_symbol
_atom_site_fract_x
_atom_site_fract_y
_atom_site_fract_z
Ca1 Ca 0.0000 0.0000 0.0000
Ac1 Ac 0.2500 0.2500 0.2500
Pm1 Pm 0.0000 0.0000 0.5000
Pb1 Pb 0.2500 0.2500 0.7500
```

***

2.
Material: LaTb6Pr3Er2
Method: DFT, PBE
State: relaxed

- N(E_F): 32.208 states/eV per cell
- Magnetization: 0.0000 μB per atom
- Uncorrected energy: -4.661 eV/atom

CIF file:
```
data_LaTb6Pr3Er2
_space_group_name_H-M_alt 'C 1 2/m 1'
_space_group_IT_number 12
_cell_length_a 6.2514
_cell_length_b 10.8251
_cell_length_c 11.9485
_cell_angle_alpha 90.00
_cell_angle_beta 100.02
_cell_angle_gamma 90.00
loop_
_space_group_symop_operation_xyz
'x,y,z'
'-x,-y,-z'
'-x,y,-z'
'x,-y,z'
'x+1/2,y+1/2,z'
'-x+1/2,-y+1/2,-z'
'-x+1/2,y+1/2,-z'
'x+1/2,-y+1/2,z'
loop_
_atom_site_label
_atom_site_type_symbol
_atom_site_fract_x
_atom_site_fract_y
_atom_site_fract_z
La1 La 0.0000 0.0000 0.0000
Tb1 Tb 0.2480 0.5000 0.2476
Tb2 Tb 0.2503 0.1674 0.2474
Pr1 Pr 0.0000 0.1671 0.5000
Pr2 Pr 0.0000 0.5000 0.5000
Er1 Er 0.0000 0.3333 0.0000
```

***

3.
Material: P5W
Method: DFT, PBE
State: relaxed

- N(E_F): 3.171 states/eV per cell
- Magnetization: 0.0000 μB per atom
- Distance to the lowest polymorph of the same formula: 339.0 meV/atom

CIF file:
```
data_P5W
_space_group_name_H-M_alt 'P 4/m m m'
_space_group_IT_number 123
_space_group_name_Hall '-P 4 2'
_cell_length_a 3.1733
_cell_length_b 3.1733
_cell_length_c 9.9443
_cell_angle_alpha 90.00
_cell_angle_beta 90.00
_cell_angle_gamma 90.00
loop_
_atom_site_label
_atom_site_type_symbol
_atom_site_fract_x
_atom_site_fract_y
_atom_site_fract_z
P1 P 0.0000 0.0000 0.0000
P2 P 0.0000 0.0000 0.3735
P3 P 0.5000 0.5000 0.1128
W1 W 0.5000 0.5000 0.5000
```

***

4.
Material: TbY6Tm5
Method: DFT, PBE
State: relaxed

- N(E_F): 35.871 states/eV per cell
- Magnetization: 0.0000 μB per atom
- Uncorrected energy: -5.453 eV/atom

CIF file:
```
data_TbY6Tm5
_space_group_name_H-M_alt 'C 1 2/m 1'
_space_group_IT_number 12
_cell_length_a 6.1262
_cell_length_b 10.5973
_cell_length_c 11.7263
_cell_angle_alpha 90.00
_cell_angle_beta 100.00
_cell_angle_gamma 90.00
loop_
_space_group_symop_operation_xyz
'x,y,z'
'-x,-y,-z'
'-x,y,-z'
'x,-y,z'
'x+1/2,y+1/2,z'
'-x+1/2,-y+1/2,-z'
'-x+1/2,y+1/2,-z'
'x+1/2,-y+1/2,z'
loop_
_atom_site_label
_atom_site_type_symbol
_atom_site_fract_x
_atom_site_fract_y
_atom_site_fract_z
Tb1 Tb 0.0000 0.0000 0.0000
Y1 Y 0.2494 0.3332 0.7494
Y2 Y 0.2499 0.0000 0.7494
Tm1 Tm 0.0000 0.1669 0.5000
Tm2 Tm 0.0000 0.3334 0.0000
Tm3 Tm 0.0000 0.5000 0.5000
```